Compound: GaAgHg2I
Source: Alexandria
Functional: PBE
Structure: optimized geometry

Cell lengths 5.490, 5.490, 5.240 Å; angles 90.00, 90.00, 90.00 degrees
Space group P4/mmm (No. 123)
Symmetry-distinct sites (fractional):
Ga 0.000 0.000 0.000 (multiplicity 1)
Ag 0.000 0.000 0.500 (multiplicity 1)
Hg 0.000 0.500 0.500 (multiplicity 2)
I 0.500 0.500 0.000 (multiplicity 1)

Values from the calculation:
VASP energy, Ry/atom: -0.1169
Energy relative to the elements, uncorrected, eV/atom: 0.02
Total magnetization, μB per formula unit: 0.00